Record 1
Here is crystalline Sm3Dy5Ho3 at its relaxed geometry from Alexandria via LeMat-Bulk. Energies are from PBE.

Values from the calculation:
E   -41.9 eV per cell
Size of the total moment   0.001 μB per formula unit
V   437.9 Å³/f.u.
Energy of formation from the pure elements   18.8 kcal/mol of atoms
Symmetry   P-62m
ρ   6.67 g cm⁻³

Lattice parameters (Å, degrees): 9.6554 9.6554 5.4237 90.00 90.00 120.00
Positions (direct):
1 Sm 0.0000 0.6341 0.0000
2 Sm 0.3659 0.3659 0.0000
3 Sm 0.6341 0.0000 0.0000
4 Dy 0.0000 0.2656 0.0000
5 Dy 0.2656 0.0000 0.0000
6 Dy 0.3333 0.6667 0.0000
7 Dy 0.6667 0.3333 0.0000
8 Dy 0.7344 0.7344 0.0000
9 Ho 0.0000 0.4497 0.5000
10 Ho 0.4497 0.0000 0.5000
11 Ho 0.5503 0.5503 0.5000

=====

Record 2
Here is crystalline SmDy7Ho12 at its relaxed geometry from Alexandria via LeMat-Bulk. Energies are from PBE.

Values from the calculation:
E   -85.8 eV per cell
Size of the total moment   0.000 μB per formula unit
V   637.5 Å³/f.u.
Energy of formation from the pure elements   7.0 kcal/mol of atoms
Symmetry   R-3
ρ   8.51 g cm⁻³

Lattice parameters (Å, degrees): 8.6434 8.6434 8.6434 95.13 95.13 95.13
Positions (direct):
1 Sm 0.0000 0.0000 0.0000
2 Dy 0.0184 0.3524 0.0829
3 Dy 0.0829 0.0184 0.3524
4 Dy 0.3524 0.0829 0.0184
5 Dy 0.5000 0.5000 0.5000
6 Dy 0.6476 0.9171 0.9816
7 Dy 0.9171 0.9816 0.6476
8 Dy 0.9816 0.6476 0.9171
9 Ho 0.1470 0.4787 0.4152
10 Ho 0.1875 0.3169 0.7492
11 Ho 0.2508 0.8125 0.6831
12 Ho 0.3169 0.7492 0.1875
13 Ho 0.4152 0.1470 0.4787
14 Ho 0.4787 0.4152 0.1470
15 Ho 0.5213 0.5848 0.8530
16 Ho 0.5848 0.8530 0.5213
17 Ho 0.6831 0.2508 0.8125
18 Ho 0.7492 0.1875 0.3169
19 Ho 0.8125 0.6831 0.2508
20 Ho 0.8530 0.5213 0.5848

=====

Record 3
Here is crystalline Sm3Dy2Ho5 at its relaxed geometry from Alexandria via LeMat-Bulk. Energies are from PBE.

Values from the calculation:
E   -88.6 eV per cell
Size of the total moment   0.000 μB per formula unit
V   327.7 Å³/f.u.
Energy of formation from the pure elements   4.5 kcal/mol of atoms
Symmetry   C2/c
ρ   8.11 g cm⁻³

Lattice parameters (Å, degrees): 9.5456 9.5456 9.4067 108.42 108.42 112.05
Positions (direct):
1 Sm 0.0203 0.2685 0.0467
2 Sm 0.2332 0.7668 0.7500
3 Sm 0.2685 0.0203 0.5467
4 Sm 0.7315 0.9797 0.4533
5 Sm 0.7668 0.2332 0.2500
6 Sm 0.9797 0.7315 0.9533
7 Dy 0.2287 0.4663 0.4527
8 Dy 0.4663 0.2287 0.9527
9 Dy 0.5337 0.7713 0.0473
10 Dy 0.7713 0.5337 0.5473
11 Ho 0.0257 0.9743 0.7500
12 Ho 0.1459 0.3746 0.7698
13 Ho 0.2720 0.7280 0.2500
14 Ho 0.3746 0.1459 0.2698
15 Ho 0.4710 0.5290 0.2500
16 Ho 0.5290 0.4710 0.7500
17 Ho 0.6254 0.8541 0.7302
18 Ho 0.7280 0.2720 0.7500
19 Ho 0.8541 0.6254 0.2302
20 Ho 0.9743 0.0257 0.2500

=====

Record 4
Here is crystalline Sm7DyHo4 at its relaxed geometry from Alexandria via LeMat-Bulk. Energies are from PBE.

Values from the calculation:
E   -53.3 eV per cell
Size of the total moment   0.265 μB per formula unit
V   400.1 Å³/f.u.
Energy of formation from the pure elements   5.2 kcal/mol of atoms
Symmetry   C2/m
ρ   7.78 g cm⁻³

Lattice parameters (Å, degrees): 8.5699 8.5699 9.3389 114.51 114.51 40.58
Positions (direct):
1 Sm 0.0000 0.0000 0.0000
2 Sm 0.2880 0.2880 0.1189
3 Sm 0.2902 0.2902 0.7667
4 Sm 0.4167 0.4167 0.5555
5 Sm 0.5833 0.5833 0.4445
6 Sm 0.7098 0.7098 0.2333
7 Sm 0.7120 0.7120 0.8811
8 Dy 0.5000 0.5000 0.0000
9 Ho 0.0721 0.0721 0.6983
10 Ho 0.1718 0.1718 0.3868
11 Ho 0.8282 0.8282 0.6132
12 Ho 0.9279 0.9279 0.3017

=====

Record 5
Here is crystalline Sm4DyHo7 at its relaxed geometry from Alexandria via LeMat-Bulk. Energies are from PBE.

Values from the calculation:
E   -54.5 eV per cell
Size of the total moment   0.000 μB per formula unit
V   386.9 Å³/f.u.
Energy of formation from the pure elements   2.0 kcal/mol of atoms
Symmetry   P-1
ρ   8.23 g cm⁻³

Lattice parameters (Å, degrees): 6.5235 6.8041 9.0436 85.35 77.13 81.85
Positions (direct):
1 Sm 0.1381 0.3089 0.2842
2 Sm 0.3392 0.8834 0.6922
3 Sm 0.6608 0.1166 0.3078
4 Sm 0.8619 0.6911 0.7158
5 Dy 0.5000 0.5000 0.0000
6 Ho 0.0123 0.2523 0.9496
7 Ho 0.1824 0.8005 0.3587
8 Ho 0.3117 0.3934 0.6155
9 Ho 0.5000 0.0000 0.0000
10 Ho 0.6883 0.6066 0.3845
11 Ho 0.8176 0.1995 0.6413
12 Ho 0.9877 0.7477 0.0504

=====

Record 6
Here is crystalline Sm3DyHo4 at its relaxed geometry from Alexandria via LeMat-Bulk. Energies are from PBE.

Values from the calculation:
E   -36.0 eV per cell
Size of the total moment   0.000 μB per formula unit
V   260.4 Å³/f.u.
Energy of formation from the pure elements   3.1 kcal/mol of atoms
Symmetry   Immm
ρ   8.12 g cm⁻³

Lattice parameters (Å, degrees): 8.8637 8.8637 8.8637 157.45 98.17 86.24
Positions (direct):
1 Sm 0.0000 0.0000 0.0000
2 Sm 0.2569 0.7569 0.5000
3 Sm 0.7431 0.2431 0.5000
4 Dy 0.5000 0.5000 0.0000
5 Ho 0.1192 0.3653 0.7539
6 Ho 0.3887 0.6347 0.7539
7 Ho 0.6113 0.3653 0.2461
8 Ho 0.8808 0.6347 0.2461

=====

Record 7
Here is crystalline SmDyHo3 at its relaxed geometry from Alexandria via LeMat-Bulk. Energies are from PBE.

Values from the calculation:
E   -46.0 eV per cell
Size of the total moment   0.000 μB per formula unit
V   160.3 Å³/f.u.
Energy of formation from the pure elements   0.2 kcal/mol of atoms
Symmetry   P-1
ρ   8.37 g cm⁻³

Lattice parameters (Å, degrees): 6.2612 6.7094 9.1919 107.83 90.04 117.74
Positions (direct):
1 Sm 0.1322 0.1009 0.3488
2 Sm 0.8678 0.8991 0.6512
3 Dy 0.4674 0.1006 0.8513
4 Dy 0.5326 0.8994 0.1487
5 Ho 0.0674 0.3012 0.0492
6 Ho 0.2661 0.7010 0.4492
7 Ho 0.3343 0.5011 0.7503
8 Ho 0.6657 0.4989 0.2497
9 Ho 0.7339 0.2990 0.5508
10 Ho 0.9326 0.6988 0.9508

=====

Record 8
Here is crystalline Sm7Dy3Ho at its relaxed geometry from Alexandria via LeMat-Bulk. Energies are from PBE.

Values from the calculation:
E   -50.0 eV per cell
Size of the total moment   0.000 μB per formula unit
V   370.0 Å³/f.u.
Energy of formation from the pure elements   2.9 kcal/mol of atoms
Symmetry   P2/m
ρ   7.65 g cm⁻³

Lattice parameters (Å, degrees): 7.0484 5.6121 9.9952 90.00 110.63 90.00
Positions (direct):
1 Sm 0.0000 0.0000 0.0000
2 Sm 0.1448 0.5000 0.2917
3 Sm 0.3212 0.5000 0.6398
4 Sm 0.4138 0.0000 0.8292
5 Sm 0.5862 0.0000 0.1708
6 Sm 0.6788 0.5000 0.3602
7 Sm 0.8552 0.5000 0.7083
8 Dy 0.0000 0.0000 0.5000
9 Dy 0.2798 0.5000 0.0003
10 Dy 0.7202 0.5000 0.9997
11 Ho 0.5000 0.0000 0.5000

=====

Record 9
Here is crystalline Sm4DyHo7 at its relaxed geometry from Alexandria via LeMat-Bulk. Energies are from PBE.

Values from the calculation:
E   -52.2 eV per cell
Size of the total moment   0.002 μB per formula unit
V   398.3 Å³/f.u.
Energy of formation from the pure elements   6.4 kcal/mol of atoms
Symmetry   C2/m
ρ   8.00 g cm⁻³

Lattice parameters (Å, degrees): 6.7120 6.7120 12.7370 115.17 115.17 51.99
Positions (direct):
1 Sm 0.0577 0.0577 0.3294
2 Sm 0.3627 0.3627 0.2232
3 Sm 0.6373 0.6373 0.7768
4 Sm 0.9423 0.9423 0.6706
5 Dy 0.5000 0.5000 0.0000
6 Ho 0.0000 0.0000 0.0000
7 Ho 0.2120 0.2120 0.9237
8 Ho 0.2527 0.2527 0.6857
9 Ho 0.3641 0.3641 0.4962
10 Ho 0.6359 0.6359 0.5038
11 Ho 0.7473 0.7473 0.3143
12 Ho 0.7880 0.7880 0.0763

=====

Record 10
Here is crystalline Sm3Dy8Ho2 at its relaxed geometry from Alexandria via LeMat-Bulk. Energies are from PBE.

Values from the calculation:
E   -59.9 eV per cell
Size of the total moment   0.000 μB per formula unit
V   414.1 Å³/f.u.
Energy of formation from the pure elements   0.4 kcal/mol of atoms
Symmetry   C2/m
ρ   8.35 g cm⁻³

Lattice parameters (Å, degrees): 10.6687 10.6687 7.9637 94.24 94.24 27.27
Positions (direct):
1 Sm 0.0000 0.0000 0.0000
2 Sm 0.4612 0.4612 0.6928
3 Sm 0.5388 0.5388 0.3072
4 Dy 0.0780 0.0780 0.6148
5 Dy 0.1551 0.1551 0.2305
6 Dy 0.3071 0.3071 0.4613
7 Dy 0.3832 0.3832 0.0780
8 Dy 0.6168 0.6168 0.9220
9 Dy 0.6929 0.6929 0.5387
10 Dy 0.8449 0.8449 0.7695
11 Dy 0.9220 0.9220 0.3852
12 Ho 0.2310 0.2310 0.8462
13 Ho 0.7690 0.7690 0.1538

=====

Record 11
Here is crystalline Sm5DyHo at its relaxed geometry from Alexandria via LeMat-Bulk. Energies are from PBE.

Values from the calculation:
E   -31.5 eV per cell
Size of the total moment   0.000 μB per formula unit
V   241.1 Å³/f.u.
Energy of formation from the pure elements   4.4 kcal/mol of atoms
Symmetry   C2/m
ρ   7.43 g cm⁻³

Lattice parameters (Å, degrees): 6.2521 6.2521 7.0015 99.97 99.97 112.10
Positions (direct):
1 Sm 0.0000 0.0000 0.0000
2 Sm 0.0926 0.5234 0.2688
3 Sm 0.4766 0.9074 0.7312
4 Sm 0.5234 0.0926 0.2688
5 Sm 0.9074 0.4766 0.7312
6 Dy 0.0000 0.0000 0.5000
7 Ho 0.5000 0.5000 0.0000

=====

Record 12
Here is crystalline Sm12DyHo7 at its relaxed geometry from Alexandria via LeMat-Bulk. Energies are from PBE.

Values from the calculation:
E   -87.6 eV per cell
Size of the total moment   0.000 μB per formula unit
V   669.8 Å³/f.u.
Energy of formation from the pure elements   6.5 kcal/mol of atoms
Symmetry   R-3
ρ   7.74 g cm⁻³

Lattice parameters (Å, degrees): 8.7774 8.7774 8.7774 94.46 94.46 94.46
Positions (direct):
1 Sm 0.1455 0.4113 0.4756
2 Sm 0.1849 0.7505 0.3174
3 Sm 0.2495 0.6826 0.8151
4 Sm 0.3174 0.1849 0.7505
5 Sm 0.4113 0.4756 0.1455
6 Sm 0.4756 0.1455 0.4113
7 Sm 0.5244 0.8545 0.5887
8 Sm 0.5887 0.5244 0.8545
9 Sm 0.6826 0.8151 0.2495
10 Sm 0.7505 0.3174 0.1849
11 Sm 0.8151 0.2495 0.6826
12 Sm 0.8545 0.5887 0.5244
13 Dy 0.0000 0.0000 0.0000
14 Ho 0.0175 0.0816 0.3478
15 Ho 0.0816 0.3478 0.0175
16 Ho 0.3478 0.0176 0.0816
17 Ho 0.5000 0.5000 0.5000
18 Ho 0.6522 0.9825 0.9184
19 Ho 0.9184 0.6522 0.9825
20 Ho 0.9825 0.9184 0.6522

=====

Record 13
Here is crystalline Sm16Dy7Ho6 at its relaxed geometry from Alexandria via LeMat-Bulk. Energies are from PBE.

Values from the calculation:
E   -128.8 eV per cell
Size of the total moment   0.000 μB per formula unit
V   998.4 Å³/f.u.
Energy of formation from the pure elements   5.1 kcal/mol of atoms
Symmetry   Fm-3m
ρ   7.54 g cm⁻³

Lattice parameters (Å, degrees): 11.2187 11.2187 11.2187 60.00 60.00 60.00
Positions (direct):
1 Sm 0.0506 0.6498 0.6498
2 Sm 0.1247 0.1247 0.1247
3 Sm 0.1247 0.1247 0.6259
4 Sm 0.1247 0.6259 0.1247
5 Sm 0.3502 0.3502 0.3502
6 Sm 0.3502 0.3502 0.9494
7 Sm 0.3502 0.9494 0.3502
8 Sm 0.3741 0.8753 0.8753
9 Sm 0.6259 0.1247 0.1247
10 Sm 0.6498 0.0506 0.6498
11 Sm 0.6498 0.6498 0.0506
12 Sm 0.6498 0.6498 0.6498
13 Sm 0.8753 0.3741 0.8753
14 Sm 0.8753 0.8753 0.3741
15 Sm 0.8753 0.8753 0.8753
16 Sm 0.9494 0.3502 0.3502
17 Dy 0.0000 0.0000 0.0000
18 Dy 0.0000 0.0000 0.5000
19 Dy 0.0000 0.5000 0.0000
20 Dy 0.0000 0.5000 0.5000
21 Dy 0.5000 0.0000 0.0000
22 Dy 0.5000 0.0000 0.5000
23 Dy 0.5000 0.5000 0.0000
24 Ho 0.2675 0.2675 0.7325
25 Ho 0.2675 0.7325 0.2675
26 Ho 0.2675 0.7325 0.7325
27 Ho 0.7325 0.2675 0.2675
28 Ho 0.7325 0.2675 0.7325
29 Ho 0.7325 0.7325 0.2675

=====

Record 14
Here is crystalline Sm2DyHo at its relaxed geometry from Alexandria via LeMat-Bulk. Energies are from PBE.

Values from the calculation:
E   -18.1 eV per cell
Size of the total moment   0.000 μB per formula unit
V   130.8 Å³/f.u.
Energy of formation from the pure elements   2.7 kcal/mol of atoms
Symmetry   Imm2
ρ   7.98 g cm⁻³

Lattice parameters (Å, degrees): 6.9138 6.9138 6.9138 148.89 129.42 60.58
Positions (direct):
1 Sm 0.0000 0.0000 0.0000
2 Sm 0.7380 0.2380 0.5000
3 Dy 0.2511 0.7511 0.5000
4 Ho 0.4907 0.4907 0.0000

=====

Record 15
Here is crystalline Sm12Dy5Ho2 at its relaxed geometry from Alexandria via LeMat-Bulk. Energies are from PBE.

Values from the calculation:
E   -86.5 eV per cell
Size of the total moment   0.000 μB per formula unit
V   634.9 Å³/f.u.
Energy of formation from the pure elements   2.8 kcal/mol of atoms
Symmetry   C2/m
ρ   7.71 g cm⁻³

Lattice parameters (Å, degrees): 9.1505 9.1505 8.6979 91.90 91.90 60.73
Positions (direct):
1 Sm 0.0594 0.0594 0.3415
2 Sm 0.0661 0.6751 0.3227
3 Sm 0.1686 0.5308 0.7625
4 Sm 0.3249 0.9339 0.6773
5 Sm 0.4212 0.4212 0.1199
6 Sm 0.4692 0.8314 0.2375
7 Sm 0.5308 0.1686 0.7625
8 Sm 0.5788 0.5788 0.8801
9 Sm 0.6751 0.0661 0.3227
10 Sm 0.8314 0.4692 0.2375
11 Sm 0.9339 0.3249 0.6773
12 Sm 0.9406 0.9406 0.6585
13 Dy 0.2040 0.2040 0.0275
14 Dy 0.2688 0.2688 0.4319
15 Dy 0.5000 0.5000 0.5000
16 Dy 0.7312 0.7312 0.5681
17 Dy 0.7960 0.7960 0.9725
18 Ho 0.1712 0.8288 0.0000
19 Ho 0.8288 0.1712 0.0000

=====

Record 16
Here is crystalline Sm3Dy2Ho4 at its relaxed geometry from Alexandria via LeMat-Bulk. Energies are from PBE.

Values from the calculation:
E   -81.5 eV per cell
Size of the total moment   0.000 μB per formula unit
V   287.2 Å³/f.u.
Energy of formation from the pure elements   2.3 kcal/mol of atoms
Symmetry   C2/c
ρ   8.30 g cm⁻³

Lattice parameters (Å, degrees): 10.0801 10.0801 6.0571 95.49 95.49 70.04
Positions (direct):
1 Sm 0.1506 0.8494 0.7500
2 Sm 0.1826 0.4850 0.9164
3 Sm 0.4850 0.1826 0.4164
4 Sm 0.5150 0.8174 0.5836
5 Sm 0.8174 0.5150 0.0836
6 Sm 0.8494 0.1506 0.2500
7 Dy 0.0074 0.7837 0.2140
8 Dy 0.2163 0.9926 0.2860
9 Dy 0.7837 0.0074 0.7140
10 Dy 0.9926 0.2163 0.7860
11 Ho 0.1185 0.3411 0.3784
12 Ho 0.3265 0.5490 0.4543
13 Ho 0.3411 0.1185 0.8784
14 Ho 0.4510 0.6735 0.0457
15 Ho 0.5490 0.3265 0.9543
16 Ho 0.6589 0.8815 0.1216
17 Ho 0.6735 0.4510 0.5457
18 Ho 0.8815 0.6589 0.6216

=====

Record 17
Here is crystalline Sm19Dy4Ho6 at its relaxed geometry from Alexandria via LeMat-Bulk. Energies are from PBE.

Values from the calculation:
E   -124.7 eV per cell
Size of the total moment   0.000 μB per formula unit
V   993.9 Å³/f.u.
Energy of formation from the pure elements   8.6 kcal/mol of atoms
Symmetry   I23
ρ   7.51 g cm⁻³

Lattice parameters (Å, degrees): 10.8891 10.8891 10.8891 109.47 109.47 109.47
Positions (direct):
1 Sm 0.0000 0.0000 0.0000
2 Sm 0.0000 0.2601 0.2601
3 Sm 0.0000 0.7399 0.7399
4 Sm 0.0180 0.2183 0.6756
5 Sm 0.2004 0.9820 0.6576
6 Sm 0.2183 0.6756 0.0180
7 Sm 0.2601 0.0000 0.2601
8 Sm 0.2601 0.2601 0.0000
9 Sm 0.3244 0.5428 0.3424
10 Sm 0.3424 0.3244 0.5428
11 Sm 0.4572 0.7817 0.7996
12 Sm 0.5428 0.3424 0.3244
13 Sm 0.6576 0.2004 0.9820
14 Sm 0.6756 0.0180 0.2183
15 Sm 0.7399 0.0000 0.7399
16 Sm 0.7399 0.7399 0.0000
17 Sm 0.7817 0.7996 0.4572
18 Sm 0.7996 0.4572 0.7817
19 Sm 0.9820 0.6576 0.2004
20 Dy 0.0000 0.0000 0.3600
21 Dy 0.0000 0.3600 0.0000
22 Dy 0.3600 0.0000 0.0000
23 Dy 0.6400 0.6400 0.6400
24 Ho 0.1251 0.5000 0.6251
25 Ho 0.3749 0.8749 0.5000
26 Ho 0.5000 0.3749 0.8749
27 Ho 0.5000 0.6251 0.1251
28 Ho 0.6251 0.1251 0.5000
29 Ho 0.8749 0.5000 0.3749

=====

Record 18
Here is crystalline SmDy12Ho7 at its relaxed geometry from Alexandria via LeMat-Bulk. Energies are from PBE.

Values from the calculation:
E   -77.7 eV per cell
Size of the total moment   0.000 μB per formula unit
V   711.9 Å³/f.u.
Energy of formation from the pure elements   16.4 kcal/mol of atoms
Symmetry   Im-3
ρ   7.59 g cm⁻³

Lattice parameters (Å, degrees): 9.7428 9.7428 9.7428 109.47 109.47 109.47
Positions (direct):
1 Sm 0.0000 0.0000 0.0000
2 Dy 0.0009 0.7471 0.2538
3 Dy 0.2529 0.2538 0.5068
4 Dy 0.2529 0.7462 0.9991
5 Dy 0.2538 0.0009 0.7471
6 Dy 0.2538 0.5068 0.2529
7 Dy 0.4932 0.7471 0.7462
8 Dy 0.5068 0.2529 0.2538
9 Dy 0.7462 0.4932 0.7471
10 Dy 0.7462 0.9991 0.2529
11 Dy 0.7471 0.2538 0.0009
12 Dy 0.7471 0.7462 0.4932
13 Dy 0.9991 0.2529 0.7462
14 Ho 0.0000 0.0000 0.5000
15 Ho 0.0000 0.5000 0.0000
16 Ho 0.0000 0.5000 0.5000
17 Ho 0.5000 0.0000 0.0000
18 Ho 0.5000 0.0000 0.5000
19 Ho 0.5000 0.5000 0.0000
20 Ho 0.5000 0.5000 0.5000